# SmZr2Sc6 GGA-PBE relaxed
data_SmZr2Sc6
_chemical_formula_sum 'Sm4 Zr8 Sc24'
_cell_length_a 11.689
_cell_length_b 13.279
_cell_length_c 5.979
_cell_angle_alpha 90.00
_cell_angle_beta 103.54
_cell_angle_gamma 90.00
_space_group_name_H-M_alt 'C 1 2/c 1'
_space_group_IT_number 15
loop_
_space_group_symop_operation_xyz
'x,y,z'
'-x,-y,-z'
'-x,y,-z+1/2'
'x,-y,z+1/2'
'x+1/2,y+1/2,z'
'-x+1/2,-y+1/2,-z'
'-x+1/2,y+1/2,-z+1/2'
'x+1/2,-y+1/2,z+1/2'
loop_
_atom_site_label
_atom_site_fract_x
_atom_site_fract_y
_atom_site_fract_z
Sm1 0.000 0.117 0.250
Zr1 0.134 0.476 0.372
Sc1 0.045 0.318 0.012
Sc2 0.147 0.088 0.825
Sc3 0.232 0.302 0.714
# - V (Å³/cell) = 902
# - energy (eV per atom) = -6.56
# - density (g/cm3) = 4.44